DFT (PBE-GGA) results for an optimized crystal structure of KAlSe3.

```
KAlSe3
1.0
5.921 0.000 0.000
0.000 5.921 0.000
0.000 0.000 5.921
Se K Al
3 1 1
Direct
0.500 0.000 0.000
0.000 0.000 0.500
0.000 0.500 0.000
0.000 0.000 0.000
0.500 0.500 0.500
```

The value obtained for the density of states at the Fermi level is 1.27 states/eV per atom. The calculation puts the uncorrected formation energy at 0.873 eV/atom. For the energy above the most stable polymorph in this dataset, the calculation gives 1387 meV per atom. The final energy comes out at -2.186 eV/atom.

***

DFT (PBE-GGA) results for an optimized crystal structure of Dy2TmP3Ir12.

```
Dy2TmP3Ir12
1.0
6.515 -1.442 -1.023
1.963 6.377 -1.023
1.963 1.143 6.357
Ir P Dy Tm
12 3 2 1
Direct
0.334 0.822 0.822
0.624 0.105 0.624
0.895 0.376 0.376
0.822 0.822 0.334
0.624 0.624 0.105
0.376 0.376 0.895
0.105 0.624 0.624
0.822 0.334 0.822
0.178 0.666 0.178
0.376 0.895 0.376
0.178 0.178 0.666
0.666 0.178 0.178
0.000 0.000 0.500
0.500 0.000 0.000
0.000 0.500 0.000
0.370 0.370 0.370
0.630 0.630 0.630
0.000 0.000 0.000
```

The value obtained for the density of states at the Fermi level is 0.54 states/eV per atom. The final energy comes out at -7.748 eV/atom. As for the formation energy: -3.2 eV/f.u.

***

DFT (PBE-GGA) results for an optimized crystal structure of PuTc2Ge.

```
PuTc2Ge
1.0
4.404 0.000 0.000
0.000 9.375 0.000
-2.202 -4.688 7.147
Pu Tc Ge
4 8 4
Direct
0.309 0.309 0.617
0.691 0.691 0.383
0.500 0.745 0.000
0.500 0.255 0.000
0.306 0.670 0.612
0.306 0.941 0.612
0.084 0.584 0.168
0.920 0.920 0.839
0.916 0.416 0.832
0.694 0.059 0.388
0.080 0.080 0.161
0.694 0.330 0.388
0.146 0.897 0.291
0.854 0.103 0.709
0.146 0.395 0.291
0.854 0.605 0.709
```

The value obtained for the density of states at the Fermi level is 2.31 states/eV per atom. For the energy above the most stable polymorph in this dataset, the calculation gives 71 meV per atom. The final energy comes out at -9.978 eV/atom. As for the formation energy: -0.2 eV/f.u.

***

DFT (PBE-GGA) results for an optimized crystal structure of Th6Hg3Ir.

```
Th6Hg3Ir
1.0
8.414 0.611 0.625
0.428 8.425 0.625
0.428 0.438 8.437
Hg Th Ir
6 12 2
Direct
0.506 0.131 0.131
0.869 0.494 0.869
0.131 0.506 0.131
0.494 0.869 0.869
0.131 0.131 0.506
0.869 0.869 0.494
0.483 0.829 0.483
0.483 0.483 0.829
0.171 0.517 0.517
0.829 0.483 0.483
0.121 0.779 0.779
0.517 0.517 0.171
0.221 0.221 0.879
0.879 0.221 0.221
0.221 0.879 0.221
0.779 0.779 0.121
0.779 0.121 0.779
0.517 0.171 0.517
0.500 0.500 0.500
0.000 0.000 0.000
```

The value obtained for the density of states at the Fermi level is 1.20 states/eV per atom. The final energy comes out at -5.581 eV/atom. As for the formation energy: -1.5 eV/f.u.

***

DFT (PBE-GGA) results for an optimized crystal structure of Y2AlIn.

```
Y2AlIn
1.0
8.185 0.000 0.000
0.000 8.185 0.000
4.092 4.092 3.329
Y Al In
4 2 2
Direct
0.875 0.864 0.750
0.375 0.386 0.750
0.136 0.625 0.250
0.614 0.125 0.250
0.250 0.750 0.500
0.500 0.500 0.000
0.000 0.000 0.000
0.750 0.250 0.500
```

The value obtained for the density of states at the Fermi level is 1.10 states/eV per atom. The final energy comes out at -4.882 eV/atom. As for the formation energy: -0.1 eV/f.u.

***

DFT (PBE-GGA) results for an optimized crystal structure of LaTlRe2.

```
LaTlRe2
1.0
5.619 0.003 0.009
-2.754 5.055 0.002
0.110 0.858 2.824
La Re Tl
1 2 1
Direct
0.500 0.500 0.000
0.500 0.000 0.500
0.000 0.000 0.000
0.000 0.500 0.500
```

The value obtained for the density of states at the Fermi level is 1.32 states/eV per atom. For the energy above the most stable polymorph in this dataset, the calculation gives 723 meV per atom. The final energy comes out at -7.133 eV/atom. As for the formation energy: 3.7 eV/f.u.

***

DFT (PBE-GGA) results for an optimized crystal structure of Mg3OsSe.

```
Mg3OsSe
1.0
-4.682 1.615 -0.112
-0.547 -1.899 -4.543
-1.524 -4.281 1.973
Mg Os Se
3 1 1
Direct
0.000 0.500 0.000
0.000 0.000 0.500
0.500 0.000 0.000
0.000 0.000 0.000
0.500 0.500 0.500
```

The value obtained for the density of states at the Fermi level is 0.13 states/eV per atom. The calculation puts the uncorrected formation energy at 0.526 eV/atom. For the energy above the most stable polymorph in this dataset, the calculation gives 0 meV per atom. The final energy comes out at -3.373 eV/atom.

***

DFT (PBE-GGA) results for an optimized crystal structure of MgZr2Zn.

```
MgZr2Zn
1.0
4.059 0.000 0.000
0.000 3.186 0.009
0.000 3.166 6.262
Zr Mg Zn
2 1 1
Direct
0.000 0.012 0.988
0.000 0.488 0.512
0.500 0.250 0.250
0.500 0.750 0.750
```

The value obtained for the density of states at the Fermi level is 1.00 states/eV per atom. For the energy above the most stable polymorph in this dataset, the calculation gives 38 meV per atom. The final energy comes out at -5.066 eV/atom. As for the formation energy: -0.3 eV/f.u.